Entry 1:
Entry from the Alexandria database: a geometry-optimized Ga5Ag7 structure (GGA-PBE).

Properties
**Polymorph energy (0 for the lowest one)**: 0 meV per atom
**Crystal system**: monoclinic

a = 14.8003 Å, b = 3.0637 Å, c = 10.7396 Å
α = 90.00°, β = 119.72°, γ = 90.00°
Space group C2/m (No. 12)
Unique sites:
Ga: 0.0000 0.0000 0.0000 [2 per cell]
Ga: 0.1638 0.0000 0.4963 [4 per cell]
Ga: 0.1932 0.5000 0.7534 [4 per cell]
Ag: 0.0000 0.5000 0.5000 [2 per cell]
Ag: 0.0276 0.0000 0.7522 [4 per cell]
Ag: 0.1444 0.5000 0.2554 [4 per cell]
Ag: 0.1677 0.5000 0.0048 [4 per cell]

***

Entry 2:
Entry from the Alexandria database: a geometry-optimized Ga5Ag7 structure (GGA-PBE).

Properties
**Polymorph energy (0 for the lowest one)**: 30 meV per atom
**Crystal system**: monoclinic

a = 8.6682 Å, b = 4.8473 Å, c = 10.5688 Å
α = 90.00°, β = 105.03°, γ = 90.00°
Space group C2/m (No. 12)
Unique sites:
Ga: 0.0000 0.0000 0.0000 [2 per cell]
Ga: 0.1674 0.0000 0.4983 [4 per cell]
Ga: 0.2505 0.0000 0.2459 [4 per cell]
Ag: 0.0000 0.5000 0.5000 [2 per cell]
Ag: 0.0813 0.0000 0.7516 [4 per cell]
Ag: 0.0923 0.5000 0.2529 [4 per cell]
Ag: 0.1618 0.5000 0.9901 [4 per cell]

***

Entry 3:
Entry from the Alexandria database: a geometry-optimized Ga7Ag2 structure (GGA-PBE).

Properties
**Crystal system**: trigonal
**E**: -26.52 eV per formula unit

a = 5.6821 Å, b = 5.6821 Å, c = 6.0204 Å
α = 90.00°, β = 90.00°, γ = 120.00°
Space group P-31m (No. 162)
Unique sites:
Ga: 0.0000 0.0000 0.0000 [1 per cell]
Ga: 0.0000 0.3363 0.6636 [6 per cell]
Ag: 0.3333 0.6667 0.0000 [2 per cell]

***

Entry 4:
Entry from the Alexandria database: a geometry-optimized Ga3Ag structure (GGA-PBE).

Properties
**Polymorph energy (0 for the lowest one)**: 69 meV per atom
**Crystal system**: cubic

a = 6.7060 Å, b = 6.7060 Å, c = 6.7060 Å
α = 90.00°, β = 90.00°, γ = 90.00°
Space group Fm-3m (No. 225)
Unique sites:
Ga: 0.0000 0.0000 0.0000 [4 per cell]
Ga: 0.2500 0.2500 0.2500 [8 per cell]
Ag: 0.0000 0.0000 0.5000 [4 per cell]

***

Entry 5:
Entry from the Alexandria database: a geometry-optimized Ga7Ag3 structure (GGA-PBE).

Properties
**Crystal system**: monoclinic
**E**: -29.45 eV per formula unit

a = 15.1109 Å, b = 4.2442 Å, c = 5.8067 Å
α = 90.00°, β = 101.23°, γ = 90.00°
Space group C2/m (No. 12)
Unique sites:
Ga: 0.0000 0.0000 0.0000 [2 per cell]
Ga: 0.0983 0.5000 0.2978 [4 per cell]
Ga: 0.1006 0.5000 0.8042 [4 per cell]
Ga: 0.1983 0.0000 0.6012 [4 per cell]
Ag: 0.0000 0.0000 0.5000 [2 per cell]
Ag: 0.2056 0.0000 0.1130 [4 per cell]

***

Entry 6:
Entry from the Alexandria database: a geometry-optimized Ga3Ag4 structure (GGA-PBE).

Properties
**Crystal system**: trigonal
**E**: -20.26 eV per formula unit

a = 12.2228 Å, b = 12.2228 Å, c = 5.7719 Å
α = 90.00°, β = 90.00°, γ = 120.00°
Space group R-3 (No. 148, hexagonal axes)
Unique sites:
Ga: 0.0500 0.8176 0.2078 [18 per cell]
Ag: 0.0000 0.0000 0.0000 [3 per cell]
Ag: 0.0000 0.0000 0.5000 [3 per cell]
Ag: 0.0515 0.8003 0.7008 [18 per cell]

***

Entry 7:
Entry from the Alexandria database: a geometry-optimized Ga2Ag13 structure (GGA-PBE).

Properties
**Crystal system**: triclinic
**E**: -43.02 eV per formula unit

a = 5.0593 Å, b = 7.1513 Å, c = 7.7398 Å
α = 107.46°, β = 96.61°, γ = 90.21°
Space group P-1 (No. 2)
Unique sites:
Ga: 0.0682 0.1385 0.3951 [2 per cell]
Ag: 0.0000 0.0000 0.0000 [1 per cell]
Ag: 0.1345 0.2583 0.7924 [2 per cell]
Ag: 0.1997 0.3995 0.1976 [2 per cell]
Ag: 0.2639 0.5282 0.5990 [2 per cell]
Ag: 0.3335 0.6650 0.0019 [2 per cell]
Ag: 0.3914 0.8032 0.4053 [2 per cell]
Ag: 0.4678 0.9313 0.7996 [2 per cell]

***

Entry 8:
Entry from the Alexandria database: a geometry-optimized Ga3Ag structure (GGA-PBE).

Properties
**Polymorph energy (0 for the lowest one)**: 0 meV per atom
**Crystal system**: orthorhombic

a = 2.8824 Å, b = 3.0944 Å, c = 8.3480 Å
α = 90.00°, β = 90.00°, γ = 90.00°
Space group Pmm2 (No. 25)
Unique sites:
Ga: 0.0000 0.0000 0.0000 [1 per cell]
Ga: 0.0000 0.5000 0.2697 [1 per cell]
Ga: 0.5000 0.5000 0.7673 [1 per cell]
Ag: 0.5000 0.0000 0.4976 [1 per cell]